#one
Se2BrF | PBE-GGA | optimized geometry

Cell: 6.6912 6.6912 6.6912 Å, 90.00 90.00 90.00°
Closest atoms and distances in Å follow each position.
Space group Fm-3m (No. 225)
Unique sites:
Se  0.2500  0.2500  0.2500 [8 per cell]  4 F 2.90, 4 Br 2.90
Br  0.0000  0.0000  0.0000 [4 per cell]  8 Se 2.90
F  0.0000  0.0000  0.5000 [4 per cell]  8 Se 2.90

=====

#two
Se2BrF | PBE-GGA | optimized geometry

Cell: 4.5814 4.5814 17.4282 Å, 90.00 90.00 90.00°
Closest atoms and distances in Å follow each position.
Space group I-42d (No. 122)
Unique sites:
Se  0.1241  0.2500  0.1250 [8 per cell]  2 F 2.53, 2 Se 2.56
Br  0.0000  0.0000  0.5000 [4 per cell]  4 Se 3.00, 4 F 3.24
F  0.0000  0.0000  0.0000 [4 per cell]  4 Se 2.53

=====

Short version: #one is the least stable of them.

=====

#one
SeBrF3 | PBE-GGA | optimized geometry

Cell: 4.3007 4.3007 4.3007 Å, 90.00 90.00 90.00°
Closest atoms and distances in Å follow each position.
Space group Pm-3m (No. 221)
Unique sites:
Se  0.0000  0.0000  0.0000 [1 per cell]  6 F 2.15
Br  0.5000  0.5000  0.5000 [1 per cell]  12 F 3.04
F  0.0000  0.0000  0.5000 [3 per cell]  2 Se 2.15

=====

#two
SeBrF3 | PBE-GGA | optimized geometry

Cell: 7.6655 4.9449 5.7618 Å, 90.00 90.00 90.00°
Closest atoms and distances in Å follow each position.
Space group Pmn2_1 (No. 31)
Unique sites:
Se  0.0000  0.0062  0.0000 [2 per cell]  3 F 1.76-1.83
Br  0.0000  0.3672  0.7067 [2 per cell]  1 Se 2.46
F  0.0000  0.7711  0.2460 [2 per cell]  1 Se 1.83
F  0.1747  0.1681  0.1396 [4 per cell]  1 Se 1.76

=====

Short version: #one is the least stable of them.

=====

#one
SeBr2F | PBE-GGA | optimized geometry

Cell: 5.3262 5.3262 15.4868 Å, 90.00 90.00 90.00°
Closest atoms and distances in Å follow each position.
Space group I-42d (No. 122)
Unique sites:
Se  0.0000  0.0000  0.0000 [4 per cell]  4 Br 2.60
Br  0.2103  0.2500  0.1250 [8 per cell]  2 Se 2.60, 2 F 2.81
F  0.0000  0.0000  0.5000 [4 per cell]  4 Br 2.81

=====

#two
SeBr2F | PBE-GGA | optimized geometry

Cell: 6.7529 6.7529 6.7529 Å, 90.00 90.00 90.00°
Closest atoms and distances in Å follow each position.
Space group Fm-3m (No. 225)
Unique sites:
Se  0.0000  0.0000  0.0000 [4 per cell]  8 Br 2.92
Br  0.2500  0.2500  0.2500 [8 per cell]  4 F 2.92, 4 Se 2.92
F  0.0000  0.0000  0.5000 [4 per cell]  8 Br 2.92

=====

Short version: #two is the least stable of them.

=====

#one
SnSe2BrF | PBE-GGA | optimized geometry

Cell: 4.4524 4.4524 5.9799 Å, 90.00 90.00 90.00°
Closest atoms and distances in Å follow each position.
Space group P4/mmm (No. 123)
Unique sites:
Sn  0.0000  0.0000  0.0000 [1 per cell]  4 Br 3.15
Se  0.0000  0.5000  0.5000 [2 per cell]  2 F 2.23
Br  0.5000  0.5000  0.0000 [1 per cell]  2 F 2.99, 4 Sn 3.15
F  0.5000  0.5000  0.5000 [1 per cell]  4 Se 2.23

=====

#two
SnSe2BrF | PBE-GGA | optimized geometry

Cell: 5.3916 5.3916 5.4247 Å, 90.00 90.00 90.00°
Closest atoms and distances in Å follow each position.
Space group P4/mmm (No. 123)
Unique sites:
Sn  0.0000  0.0000  0.0000 [1 per cell]  4 Se 2.70, 2 Br 2.71
Se  0.0000  0.5000  0.0000 [2 per cell]  2 Sn 2.70
Br  0.0000  0.0000  0.5000 [1 per cell]  2 Sn 2.71
F  0.5000  0.5000  0.5000 [1 per cell]  4 Br 3.81, 8 Se 3.82

=====

Short version: #two is the least stable of them.